Entry 1:
! YCu | Alexandria via LeMat-Bulk | GGA-PBEsol | optimized geometry; values from VASP
&SYSTEM
  ibrav = 0, nat = 4, ntyp = 2
/
ATOMIC_SPECIES
Cu 63.55 Cu.upf
Y 88.91 Y.upf
CELL_PARAMETERS angstrom
-0.9304 -2.9861 -1.3429
3.2917 0.3294 -3.0131
2.0677 -1.1574 5.4549
ATOMIC_POSITIONS crystal
Cu 0.3348 0.5848 0.6697
Cu 0.6652 0.4152 0.3303
Y 0.8918 0.1418 0.7836
Y 0.1082 0.8582 0.2164
! * crystal system: orthorhombic
! * E_tot: -5.66 eV/atom
! * space-group type: No. 74


Entry 2:
! LiCa3N | Alexandria via LeMat-Bulk | GGA-PBEsol | optimized geometry; values from VASP
&SYSTEM
  ibrav = 0, nat = 5, ntyp = 3
/
ATOMIC_SPECIES
Ca 40.08 Ca.upf
N 14.01 N.upf
Li 6.94 Li.upf
CELL_PARAMETERS angstrom
4.9384 0.0000 0.0000
0.0000 4.9384 0.0000
0.0000 0.0000 4.9384
ATOMIC_POSITIONS crystal
Ca 0.0000 0.5000 0.0000
Ca 0.0000 0.0000 0.5000
Ca 0.5000 0.0000 0.0000
N 0.0000 0.0000 0.0000
Li 0.5000 0.5000 0.5000
! * formation energy (no corrections): -0.46 eV per atom
! * crystal system: cubic
! * space-group type: No. 221


Entry 3:
! TiInTc3 | Alexandria via LeMat-Bulk | GGA-PBEsol | optimized geometry; values from VASP
&SYSTEM
  ibrav = 0, nat = 5, ntyp = 3
/
ATOMIC_SPECIES
Ti 47.87 Ti.upf
Tc 98.00 Tc.upf
In 114.82 In.upf
CELL_PARAMETERS angstrom
-0.3875 4.4363 0.5675
-3.3368 0.0925 -3.0018
-2.9781 -0.6809 3.2895
ATOMIC_POSITIONS crystal
Ti 0.0000 0.0000 0.0000
Tc 0.0000 0.5000 0.0000
Tc 0.0000 0.0000 0.5000
Tc 0.5000 0.0000 0.0000
In 0.5000 0.5000 0.5000
! * crystal system: cubic
! * E_tot: -7.78 eV/atom
! * space-group type: No. 221


Entry 4:
! SbTeBr2 | Alexandria via LeMat-Bulk | GGA-PBEsol | optimized geometry; values from VASP
&SYSTEM
  ibrav = 0, nat = 4, ntyp = 3
/
ATOMIC_SPECIES
Sb 121.76 Sb.upf
Te 127.60 Te.upf
Br 79.90 Br.upf
CELL_PARAMETERS angstrom
3.5090 0.0000 0.0000
0.0000 5.5447 0.0000
-1.7545 -2.7724 6.6010
ATOMIC_POSITIONS crystal
Sb 0.5000 0.0000 0.0000
Te 0.0000 0.5000 0.0000
Br 0.8300 0.8300 0.6601
Br 0.1700 0.1700 0.3399
! * formation energy (no corrections): -0.05 eV per atom
! * relative energy among the computed polymorphs: 0.0 meV per atom
! * crystal system: orthorhombic
! * space-group type: No. 71


Entry 5:
! Tc2HgPb | Alexandria via LeMat-Bulk | GGA-PBEsol | optimized geometry; values from VASP
&SYSTEM
  ibrav = 0, nat = 4, ntyp = 3
/
ATOMIC_SPECIES
Hg 200.59 Hg.upf
Pb 207.20 Pb.upf
Tc 98.00 Tc.upf
CELL_PARAMETERS angstrom
3.0504 0.0000 0.0000
1.5252 2.6417 0.0000
1.5252 0.8806 8.7792
ATOMIC_POSITIONS crystal
Hg 0.5000 0.5000 0.5000
Pb 0.0000 0.0000 0.0000
Tc 0.2505 0.2505 0.2484
Tc 0.7495 0.7495 0.7516
! * relative energy among the computed polymorphs: 359.0 meV per atom
! * crystal system: trigonal
! * space-group type: No. 166


Entry 6:
! Ga2HgRh2 | Alexandria via LeMat-Bulk | GGA-PBEsol | optimized geometry; values from VASP
&SYSTEM
  ibrav = 0, nat = 5, ntyp = 3
/
ATOMIC_SPECIES
Rh 102.91 Rh.upf
Hg 200.59 Hg.upf
Ga 69.72 Ga.upf
CELL_PARAMETERS angstrom
4.1264 0.0000 0.0000
0.0000 4.1264 0.0000
-2.0632 -2.0632 4.9162
ATOMIC_POSITIONS crystal
Rh 0.2500 0.7500 0.5000
Rh 0.7500 0.2500 0.5000
Hg 0.0000 0.0000 0.0000
Ga 0.3789 0.3789 0.7577
Ga 0.6211 0.6211 0.2423
! * crystal system: tetragonal
! * E_tot: -4.89 eV/atom
! * space-group type: No. 139


Entry 7:
! CsAs2SeI | Alexandria via LeMat-Bulk | GGA-PBEsol | optimized geometry; values from VASP
&SYSTEM
  ibrav = 0, nat = 5, ntyp = 4
/
ATOMIC_SPECIES
Cs 132.91 Cs.upf
I 126.90 I.upf
As 74.92 As.upf
Se 78.96 Se.upf
CELL_PARAMETERS angstrom
-2.4046 3.6239 4.0139
-5.9678 -3.3227 -0.5752
1.9013 -4.2812 5.0042
ATOMIC_POSITIONS crystal
Cs 0.0000 0.0000 0.0000
I 0.5000 0.5000 0.5000
As 0.0000 0.0000 0.5000
As 0.0000 0.5000 0.0000
Se 0.5000 0.0000 0.0000
! * formation energy (no corrections): 1.51 eV per atom
! * crystal system: tetragonal
! * space-group type: No. 123


Entry 8:
! CdBiRhN2 | Alexandria via LeMat-Bulk | GGA-PBEsol | optimized geometry; values from VASP
&SYSTEM
  ibrav = 0, nat = 5, ntyp = 4
/
ATOMIC_SPECIES
N 14.01 N.upf
Rh 102.91 Rh.upf
Bi 208.98 Bi.upf
Cd 112.41 Cd.upf
CELL_PARAMETERS angstrom
4.2558 0.0000 0.0000
0.0000 4.2558 0.0000
0.0000 0.0000 5.0849
ATOMIC_POSITIONS crystal
N 0.0000 0.5000 0.0000
N 0.5000 0.0000 0.0000
Rh 0.0000 0.0000 0.5000
Bi 0.0000 0.0000 0.0000
Cd 0.5000 0.5000 0.5000
! * formation energy (no corrections): 1.74 eV per atom
! * crystal system: tetragonal
! * space-group type: No. 123


Entry 9:
! BaYMo2 | Alexandria via LeMat-Bulk | GGA-PBEsol | optimized geometry; values from VASP
&SYSTEM
  ibrav = 0, nat = 4, ntyp = 3
/
ATOMIC_SPECIES
Ba 137.33 Ba.upf
Mo 95.94 Mo.upf
Y 88.91 Y.upf
CELL_PARAMETERS angstrom
-1.1194 2.7407 -1.8734
-4.8697 -0.7528 1.8084
4.0537 2.3358 4.2707
ATOMIC_POSITIONS crystal
Ba 0.2755 0.7755 0.5511
Mo 0.0409 0.0409 0.0818
Mo 0.6879 0.1879 0.3757
Y 0.4957 0.4957 0.9914
! * relative energy among the computed polymorphs: 208.1 meV per atom
! * crystal system: orthorhombic
! * space-group type: No. 44


Entry 10:
! CaLaAg2 | Alexandria via LeMat-Bulk | GGA-PBEsol | optimized geometry; values from VASP
&SYSTEM
  ibrav = 0, nat = 4, ntyp = 3
/
ATOMIC_SPECIES
Ca 40.08 Ca.upf
Ag 107.87 Ag.upf
La 138.91 La.upf
CELL_PARAMETERS angstrom
-2.1086 0.3670 -4.7559
0.2268 -4.0540 -3.2730
-4.3299 -2.6716 -1.1460
ATOMIC_POSITIONS crystal
Ca 0.0000 0.0000 0.0000
Ag 0.2500 0.2500 0.2500
Ag 0.7500 0.7500 0.7500
La 0.5000 0.5000 0.5000
! * relative energy among the computed polymorphs: 0.0 meV per atom
! * crystal system: cubic
! * space-group type: No. 225


Entry 11:
! RbPdSe3 | Alexandria via LeMat-Bulk | GGA-PBEsol | optimized geometry; values from VASP
&SYSTEM
  ibrav = 0, nat = 5, ntyp = 3
/
ATOMIC_SPECIES
Se 78.96 Se.upf
Rb 85.47 Rb.upf
Pd 106.42 Pd.upf
CELL_PARAMETERS angstrom
-0.7170 0.4878 4.9341
4.9255 -0.5017 0.7653
0.5687 4.9607 -0.4078
ATOMIC_POSITIONS crystal
Se 0.0000 0.5000 0.0000
Se 0.0000 0.0000 0.5000
Se 0.5000 0.0000 0.0000
Rb 0.5000 0.5000 0.5000
Pd 0.0000 0.0000 0.0000
! * formation energy (no corrections): -0.21 eV per atom
! * crystal system: cubic
! * space-group type: No. 221


Entry 12:
! Lu2Fe2Si2C | Alexandria via LeMat-Bulk | GGA-PBEsol | optimized geometry; values from VASP
&SYSTEM
  ibrav = 0, nat = 7, ntyp = 4
/
ATOMIC_SPECIES
C 12.01 C.upf
Lu 174.97 Lu.upf
Si 28.09 Si.upf
Fe 55.84 Fe.upf
CELL_PARAMETERS angstrom
3.8301 0.0000 0.0000
1.9151 5.1440 0.0027
1.9151 1.0243 5.0412
ATOMIC_POSITIONS crystal
C 0.0000 0.0000 0.0000
Lu 0.4410 0.2912 0.8269
Lu 0.5590 0.7088 0.1731
Si 0.8428 0.7073 0.6071
Si 0.1572 0.2927 0.3929
Fe 0.7966 0.0992 0.3076
Fe 0.2034 0.9008 0.6924
! * formation energy (no corrections): -0.79 eV per atom
! * crystal system: monoclinic
! * space-group type: No. 12


Entry 13:
! MgAg | Alexandria via LeMat-Bulk | GGA-PBEsol | optimized geometry; values from VASP
&SYSTEM
  ibrav = 0, nat = 8, ntyp = 2
/
ATOMIC_SPECIES
Ag 107.87 Ag.upf
Mg 24.30 Mg.upf
CELL_PARAMETERS angstrom
-0.1530 -3.6137 -3.8008
-1.0318 -3.7074 3.5664
-5.1420 0.8514 -0.6025
ATOMIC_POSITIONS crystal
Ag 0.3988 0.3988 0.3988
Ag 0.1012 0.6012 0.8988
Ag 0.6012 0.8988 0.1012
Ag 0.8988 0.1012 0.6012
Mg 0.0945 0.0945 0.0945
Mg 0.4055 0.9055 0.5945
Mg 0.9055 0.5945 0.4055
Mg 0.5945 0.4055 0.9055
! * crystal system: cubic
! * E_tot: -2.70 eV/atom
! * space-group type: No. 198


Entry 14:
! Li3YNi2O6 | Alexandria via LeMat-Bulk | GGA-PBEsol | optimized geometry; values from VASP
&SYSTEM
  ibrav = 0, nat = 12, ntyp = 4
/
ATOMIC_SPECIES
Li 6.94 Li.upf
Y 88.91 Y.upf
Ni 58.69 Ni.upf
O 16.00 O.upf
CELL_PARAMETERS angstrom
-4.2491 -2.7656 0.7817
0.3321 -4.1964 -2.9360
2.2158 -4.2899 1.8907
ATOMIC_POSITIONS crystal
Li 0.5000 0.5000 0.0000
Li 0.5004 0.1896 0.6196
Li 0.4996 0.8104 0.3804
Y 0.0000 0.0000 0.0000
Ni 0.9999 0.3340 0.3322
Ni 0.0001 0.6660 0.6678
O 0.2322 0.3012 0.0006
O 0.7678 0.6988 0.9994
O 0.7713 0.0714 0.3686
O 0.7714 0.4404 0.6305
O 0.2287 0.9286 0.6314
O 0.2286 0.5596 0.3695
! * formation energy (no corrections): -1.79 eV per atom
! * relative energy among the computed polymorphs: 4.7 meV per atom
! * crystal system: monoclinic
! * space-group type: No. 12


In the order shown, the computed density of states at the Fermi level values come out to 3.52; 3.60; 6.16; 2.42; 4.18; 0.41; 12.37; 4.87; 3.24; 2.79; 6.49; 3.15; 2.75; 4.51 states/eV/cell.